DFT (PBE-GGA) results for a relaxed structure of MgTaZn.

* calculated total energy: -0.282 Ry per atom
* ΔE to the lowest computed polymorph: 987.3 meV/atom
* total magnetic moment: 0.000 μB/atom
* ΔE_f: 1.07 eV/atom
* theoretical density: 6.93 g/cm3

Unit cell a=4.5088 b=4.5088 c=4.5088 alpha=60.00 beta=60.00 gamma=60.00
With the nearest neighbours (Å) after each atom.
Element x y z (fractional)
Mg (0.0000, 0.0000, 0.0000)  4 Ta 2.76
Ta (0.7500, 0.7500, 0.7500)  4 Mg 2.76, 4 Zn 2.76
Zn (0.5000, 0.5000, 0.5000)  4 Ta 2.76

DFT (PBE-GGA) results for a relaxed structure of MgTaZn2.

* calculated total energy: -0.272 Ry per atom
* total magnetic moment: 0.000 μB/atom
* ΔE_f: 0.30 eV/atom
* theoretical density: 7.87 g/cm3

Unit cell a=5.7360 b=5.7360 c=5.7360 alpha=152.20 beta=125.72 gamma=62.07
With the nearest neighbours (Å) after each atom.
Element x y z (fractional)
Mg (0.0000, 0.0000, 0.0000)  2 Mg 2.76, 4 Zn 2.83, 4 Ta 2.96
Ta (0.5000, 0.5000, 0.0000)  2 Ta 2.76, 4 Zn 2.80, 4 Mg 2.96
Zn (0.2517, 0.7517, 0.5000)  6 Zn 2.76-2.96, 2 Ta 2.80, 2 Mg 2.83
Zn (0.7483, 0.2483, 0.5000)  6 Zn 2.76-2.96, 2 Ta 2.80, 2 Mg 2.83

DFT (PBE-GGA) results for a relaxed structure of MgTaZn2.

* calculated total energy: -0.289 Ry per atom
* total magnetic moment: 0.000 μB/atom
* ΔE_f: 0.06 eV/atom
* theoretical density: 8.31 g/cm3

Unit cell a=2.9336 b=2.9336 c=7.8066 alpha=90.00 beta=90.00 gamma=90.00
With the nearest neighbours (Å) after each atom.
Element x y z (fractional)
Mg (0.0000, 0.0000, 0.0000)  4 Zn 2.88, 4 Mg 2.93, 4 Ta 3.03
Ta (0.5000, 0.5000, 0.2838)  4 Zn 2.82, 4 Ta 2.93, 4 Mg 3.03
Zn (0.0000, 0.0000, 0.5287)  8 Zn 2.67-2.93, 4 Ta 2.82
Zn (0.5000, 0.5000, 0.7435)  8 Zn 2.67-2.93, 4 Mg 2.88

DFT (PBE-GGA) results for a relaxed structure of MgTaZn.

* calculated total energy: -0.276 Ry per atom
* ΔE to the lowest computed polymorph: 1072.0 meV/atom
* total magnetic moment: 0.000 μB/atom
* ΔE_f: 1.15 eV/atom
* theoretical density: 7.52 g/cm3

Unit cell a=4.3884 b=4.3884 c=4.3884 alpha=60.00 beta=60.00 gamma=60.00
With the nearest neighbours (Å) after each atom.
Element x y z (fractional)
Mg (0.0000, 0.0000, 0.0000)  4 Ta 2.69, 4 Zn 2.69
Ta (0.2500, 0.2500, 0.2500)  4 Mg 2.69
Zn (0.7500, 0.7500, 0.7500)  4 Mg 2.69

DFT (PBE-GGA) results for a relaxed structure of MgTaZn2.

* calculated total energy: -0.287 Ry per atom
* total magnetic moment: 0.000 μB/atom
* ΔE_f: 0.09 eV/atom
* theoretical density: 8.32 g/cm3

Unit cell a=2.8461 b=3.9059 c=6.0329 alpha=90.00 beta=90.28 gamma=90.00
With the nearest neighbours (Å) after each atom.
Element x y z (fractional)
Mg (0.0000, 0.0000, 0.0000)  2 Mg 2.85, 8 Zn 2.87-2.88, 2 Ta 3.02
Ta (0.0000, 0.0000, 0.5000)  8 Zn 2.82, 2 Ta 2.85, 2 Mg 3.02
Zn (0.4997, 0.5000, 0.2592)  4 Ta 2.82, 4 Zn 2.85-3.13, 4 Mg 2.87-2.88
Zn (0.5003, 0.5000, 0.7408)  4 Ta 2.82, 4 Zn 2.85-3.13, 4 Mg 2.87-2.88

DFT (PBE-GGA) results for a relaxed structure of MgTa2Zn.

* calculated total energy: -0.456 Ry per atom
* ΔE to the lowest computed polymorph: 374.4 meV/atom
* total magnetic moment: 0.284 μB/atom
* ΔE_f: 0.44 eV/atom
* theoretical density: 10.48 g/cm3

Unit cell a=4.6601 b=4.6601 c=4.6601 alpha=60.00 beta=60.00 gamma=60.00
With the nearest neighbours (Å) after each atom.
Element x y z (fractional)
Mg (0.0000, 0.0000, 0.0000)  4 Zn 2.85, 4 Ta 2.85
Ta (0.2500, 0.2500, 0.2500)  4 Ta 2.85, 4 Mg 2.85
Ta (0.5000, 0.5000, 0.5000)  4 Ta 2.85, 4 Zn 2.85
Zn (0.7500, 0.7500, 0.7500)  4 Ta 2.85, 4 Mg 2.85

DFT (PBE-GGA) results for a relaxed structure of MgTa2Zn.

* calculated total energy: -0.437 Ry per atom
* ΔE to the lowest computed polymorph: 641.6 meV/atom
* total magnetic moment: 0.000 μB/atom
* ΔE_f: 0.70 eV/atom
* theoretical density: 10.06 g/cm3

Unit cell a=5.9199 b=5.9199 c=5.9199 alpha=101.76 beta=101.76 gamma=126.32
With the nearest neighbours (Å) after each atom.
Element x y z (fractional)
Mg (0.0000, 0.0000, 0.0000)  2 Zn 2.67, 4 Ta 2.82
Mg (0.7500, 0.2500, 0.5000)  2 Zn 2.67, 4 Ta 2.82
Ta (0.1440, 0.6250, 0.0190)  2 Zn 2.63, 2 Ta 2.69, 2 Mg 2.82
Ta (0.3750, 0.3940, 0.5190)  2 Zn 2.63, 2 Ta 2.69, 2 Mg 2.82
Ta (0.6060, 0.1250, 0.9810)  2 Zn 2.63, 2 Ta 2.69, 2 Mg 2.82
Ta (0.8750, 0.8560, 0.4810)  2 Zn 2.63, 2 Ta 2.69, 2 Mg 2.82
Zn (0.2500, 0.7500, 0.5000)  4 Ta 2.63, 2 Mg 2.67
Zn (0.5000, 0.5000, 0.0000)  4 Ta 2.63, 2 Mg 2.67

DFT (PBE-GGA) results for a relaxed structure of MgTa2Zn.

* calculated total energy: -0.481 Ry per atom
* ΔE to the lowest computed polymorph: 37.4 meV/atom
* total magnetic moment: 0.000 μB/atom
* ΔE_f: 0.10 eV/atom
* theoretical density: 10.51 g/cm3

Unit cell a=2.8375 b=2.8375 c=8.8646 alpha=90.00 beta=90.00 gamma=90.00
With the nearest neighbours (Å) after each atom.
Element x y z (fractional)
Mg (0.0000, 0.0000, 0.0000)  4 Mg 2.84, 4 Zn 2.90, 4 Ta 3.14
Ta (0.0000, 0.0000, 0.5314)  8 Ta 2.84-3.05, 4 Zn 2.88
Ta (0.5000, 0.5000, 0.2728)  8 Ta 2.84-3.05, 4 Mg 3.14
Zn (0.5000, 0.5000, 0.7641)  4 Zn 2.84, 4 Ta 2.88, 4 Mg 2.90